A plane-wave DFT calculation with PBE was carried out for a relaxed K2CrNi2Se4 crystal.

Output
As for the uncorrected formation energy: -0.63 eV per atom. As for the crystal system: monoclinic. The value obtained for the calculated density is 4.65 Mg/m³. The volume is 201 Å³/cell. The spin magnetization is 1.18 Bohr magnetons per cell.

The structure in extended XYZ format:
```
9
Lattice="-2.246 -2.862 1.233 4.012 -0.343 6.514 -4.376 6.094 0.187" Properties=species:S:1:pos:R:3 pbc="T T T"
Se -1.196 1.168 6.517
Se 1.822 -1.510 5.801
Se -4.433 4.399 2.133
Se -1.415 1.721 1.417
K 0.811 1.024 3.855
K -3.421 1.865 4.079
Ni -3.369 2.886 0.560
Ni 0.758 0.003 7.374
Cr 0.000 0.000 0.000
```